Density functional theory data (PBE) for crystalline BaAs2BrN at its relaxed geometry.

- Space-group type: No. 123
- Calculated total energy: -4.281 eV/atom

a = 4.3772 Å, b = 4.3772 Å, c = 6.6876 Å
α = 90.00°, β = 90.00°, γ = 90.00°
Last column: nearest neighbours and their distance in Å.
Sites, in units of the cell vectors:
As 0.0000 0.5000 0.0000  2 N 2.19
As 0.5000 0.0000 0.0000  2 N 2.19
Ba 0.5000 0.5000 0.5000  4 Br 3.10
Br 0.0000 0.0000 0.5000  4 Ba 3.10, 2 N 3.34
N 0.0000 0.0000 0.0000  4 As 2.19